A geometry-optimized NpSe2O6 structure. Source: Alexandria via LeMat-Bulk, functional GGA-PBE.

Geometry as POSCAR:
```
NpSe2O6
1.0
4.326 0.405 0.591
1.369 10.838 3.856
1.157 4.141 4.978
Np Se O
1 2 6
Cartesian
0.000 0.000 0.000
3.152 8.613 5.673
3.700 6.772 3.751
1.049 6.127 3.417
1.480 3.105 3.553
5.804 9.257 6.008
3.233 5.365 4.654
5.373 12.279 5.871
3.620 10.020 4.770
```

Summary:
electronic total energy = -7.020 eV per atom
spin magnetization = 0.1106 μB per atom
symmetry = P-1, No. 2
energy relative to the elements, uncorrected = -1.502 eV/atom